# ZnAs (PBE, optimized geometry)
# * energy of formation from the pure elements: 0.17 eV/atom
# * V: 28.6 Å³/atom
data_ZnAs
_space_group_name_H-M_alt 'P m -3 n'
_space_group_IT_number 223
_space_group_name_Hall '-P 4n 2 3'
_cell_length_a 7.004
_cell_length_b 7.004
_cell_length_c 7.004
_cell_angle_alpha 90.00
_cell_angle_beta 90.00
_cell_angle_gamma 90.00
loop_
_atom_site_label
_atom_site_type_symbol
_atom_site_fract_x
_atom_site_fract_y
_atom_site_fract_z
Zn1 Zn 0.000 0.250 0.500
As1 As 0.000 0.500 0.250


# ZnAs3 (PBE, optimized geometry)
# * energy of formation from the pure elements: 0.18 eV/atom
# * V: 19.0 Å³/atom
# * ΔE to the lowest computed polymorph: 129.1 meV per atom
data_ZnAs3
_space_group_name_H-M_alt 'C 1 2/m 1'
_space_group_IT_number 12
_space_group_name_Hall '-C 2y'
_cell_length_a 7.276
_cell_length_b 2.889
_cell_length_c 7.265
_cell_angle_alpha 90.00
_cell_angle_beta 95.85
_cell_angle_gamma 90.00
loop_
_atom_site_label
_atom_site_type_symbol
_atom_site_fract_x
_atom_site_fract_y
_atom_site_fract_z
Zn1 Zn 0.000 0.000 0.000
As1 As 0.000 0.500 0.500
As2 As 0.243 0.500 0.236


# ZnAs (PBE, optimized geometry)
# * energy of formation from the pure elements: 0.06 eV/atom
# * V: 19.9 Å³/atom
data_ZnAs
_space_group_name_H-M_alt 'C m c m'
_space_group_IT_number 63
_space_group_name_Hall '-C 2c 2'
_cell_length_a 2.884
_cell_length_b 13.560
_cell_length_c 4.068
_cell_angle_alpha 90.00
_cell_angle_beta 90.00
_cell_angle_gamma 90.00
loop_
_atom_site_label
_atom_site_type_symbol
_atom_site_fract_x
_atom_site_fract_y
_atom_site_fract_z
Zn1 Zn 0.000 0.192 0.250
As1 As 0.000 0.389 0.250


# Zn3As4 (PBE, optimized geometry)
# * energy of formation from the pure elements: 0.32 eV/atom
# * V: 18.3 Å³/atom
data_Zn3As4
_space_group_name_H-M_alt 'P 6/m m m'
_space_group_IT_number 191
_space_group_name_Hall '-P 6 2'
_cell_length_a 5.0869
_cell_length_b 5.0869
_cell_length_c 5.7027
_cell_angle_alpha 90.00
_cell_angle_beta 90.00
_cell_angle_gamma 120.00
loop_
_atom_site_label
_atom_site_type_symbol
_atom_site_fract_x
_atom_site_fract_y
_atom_site_fract_z
Zn1 Zn 0.0000 0.5000 0.0000
As1 As 0.0000 0.0000 0.2819
As2 As 0.3333 0.6667 0.5000


# ZnAs3 (PBE, optimized geometry)
# * energy of formation from the pure elements: 0.31 eV/atom
# * V: 19.8 Å³/atom
# * ΔE to the lowest computed polymorph: 259.1 meV per atom
data_ZnAs3
_space_group_name_H-M_alt 'I 4/m m m'
_space_group_IT_number 139
_space_group_name_Hall '-I 4 2'
_cell_length_a 3.868
_cell_length_b 3.868
_cell_length_c 21.183
_cell_angle_alpha 90.00
_cell_angle_beta 90.00
_cell_angle_gamma 90.00
loop_
_atom_site_label
_atom_site_type_symbol
_atom_site_fract_x
_atom_site_fract_y
_atom_site_fract_z
Zn1 Zn 0.000 0.000 0.147
As1 As 0.000 0.000 0.400
As2 As 0.000 0.500 0.000
As3 As 0.000 0.500 0.250


# ZnAs3 (PBE, optimized geometry)
# * energy of formation from the pure elements: 0.40 eV/atom
# * V: 18.5 Å³/atom
# * ΔE to the lowest computed polymorph: 343.9 meV per atom
data_ZnAs3
_space_group_name_H-M_alt 'P -6 m 2'
_space_group_IT_number 187
_space_group_name_Hall 'P -6 2'
_cell_length_a 2.9580
_cell_length_b 2.9580
_cell_length_c 9.7842
_cell_angle_alpha 90.00
_cell_angle_beta 90.00
_cell_angle_gamma 120.00
loop_
_atom_site_label
_atom_site_type_symbol
_atom_site_fract_x
_atom_site_fract_y
_atom_site_fract_z
Zn1 Zn 0.0000 0.0000 0.0000
As1 As 0.0000 0.0000 0.5000
As2 As 0.3333 0.6667 0.2296


# ZnAs (PBE, optimized geometry)
# * energy of formation from the pure elements: 0.21 eV/atom
# * V: 18.1 Å³/atom
data_ZnAs
_space_group_name_H-M_alt 'C m m m'
_space_group_IT_number 65
_space_group_name_Hall '-C 2 2'
_cell_length_a 3.818
_cell_length_b 4.963
_cell_length_c 3.832
_cell_angle_alpha 90.00
_cell_angle_beta 90.00
_cell_angle_gamma 90.00
loop_
_atom_site_label
_atom_site_type_symbol
_atom_site_fract_x
_atom_site_fract_y
_atom_site_fract_z
Zn1 Zn 0.000 0.000 0.000
As1 As 0.000 0.500 0.500


# ZnAs5 (PBE, optimized geometry)
# * energy of formation from the pure elements: 0.41 eV/atom
# * V: 19.2 Å³/atom
# * ΔE to the lowest computed polymorph: 273.0 meV per atom
data_ZnAs5
_space_group_name_H-M_alt 'P 4/m m m'
_space_group_IT_number 123
_space_group_name_Hall '-P 4 2'
_cell_length_a 2.798
_cell_length_b 2.798
_cell_length_c 14.729
_cell_angle_alpha 90.00
_cell_angle_beta 90.00
_cell_angle_gamma 90.00
loop_
_atom_site_label
_atom_site_type_symbol
_atom_site_fract_x
_atom_site_fract_y
_atom_site_fract_z
Zn1 Zn 0.000 0.000 0.000
As1 As 0.000 0.000 0.329
As2 As 0.500 0.500 0.146
As3 As 0.500 0.500 0.500